Entry from the Alexandria database: Ac2PrRh after structural relaxation (PBE).

Unit cell a=7.1584 b=6.8168 c=12.2065 alpha=90.00 beta=90.00 gamma=90.00
Atoms (fractional coordinates):
Ac (0.0870, 0.2486, 0.0826)
Ac (0.0870, 0.2514, 0.4174)
Ac (0.4130, 0.7486, 0.4174)
Ac (0.4130, 0.7514, 0.0826)
Ac (0.5870, 0.2486, 0.9174)
Ac (0.5870, 0.2514, 0.5826)
Ac (0.9130, 0.7486, 0.5826)
Ac (0.9130, 0.7514, 0.9174)
Pr (0.0760, 0.2500, 0.7500)
Pr (0.4240, 0.7500, 0.7500)
Pr (0.5760, 0.2500, 0.2500)
Pr (0.9240, 0.7500, 0.2500)
Rh (0.2500, 0.0000, 0.5918)
Rh (0.2500, 0.5000, 0.9082)
Rh (0.7500, 0.0000, 0.4082)
Rh (0.7500, 0.5000, 0.0918)

Computed properties:
The energy above the most stable polymorph in this dataset is 33 meV per atom. The calculation puts the total magnetization at 0.0 μB per formula unit. The formation energy comes out at -1.5 eV/f.u. The calculation puts the density at 7.781 g/cm³. The total energy comes out at -0.200 Ha/atom.



Entry from the Alexandria database: AcPrRh after structural relaxation (PBE).

Unit cell a=5.5832 b=4.8076 c=7.6326 alpha=90.00 beta=110.60 gamma=90.00
Atoms (fractional coordinates):
Ac (0.2100, 0.2500, 0.4282)
Ac (0.7900, 0.7500, 0.5718)
Pr (0.2852, 0.7500, 0.0372)
Pr (0.7148, 0.2500, 0.9628)
Rh (0.0971, 0.2500, 0.7836)
Rh (0.9029, 0.7500, 0.2164)

Computed properties:
The energy above the most stable polymorph in this dataset is 38 meV per atom. The calculation puts the total magnetization at 0.0 μB per formula unit. The formation energy comes out at -1.4 eV/f.u. The calculation puts the density at 8.153 g/cm³. The total energy comes out at -0.216 Ha/atom.



Entry from the Alexandria database: AcPrRh after structural relaxation (PBE).

Unit cell a=7.2833 b=7.2833 c=7.2833 alpha=150.60 beta=150.60 gamma=42.06
Atoms (fractional coordinates):
Ac (0.0000, 0.0000, 0.0000)
Pr (0.7488, 0.7488, 0.0000)
Rh (0.3667, 0.3667, 0.0000)

Computed properties:
The energy above the most stable polymorph in this dataset is 139 meV per atom. The calculation puts the total magnetization at 0.0 μB per formula unit. The formation energy comes out at -1.1 eV/f.u. The calculation puts the density at 8.418 g/cm³. The total energy comes out at -0.212 Ha/atom.



Entry from the Alexandria database: AcPrRhS after structural relaxation (PBE).

Unit cell a=7.8689 b=7.8689 c=7.8689 alpha=30.50 beta=30.50 gamma=30.50
Atoms (fractional coordinates):
Ac (0.0000, 0.0000, 0.0000)
Pr (0.8204, 0.8204, 0.8204)
Rh (0.4113, 0.4113, 0.4113)
S (0.5730, 0.5730, 0.5730)

Computed properties:
The calculation puts the total magnetization at 0.0 μB per formula unit. The calculation puts the density at 7.505 g/cm³. The total energy comes out at -0.231 Ha/atom.